# 1
A relaxed structure of AlCrIr2. Source: Alexandria via LeMat-Bulk, functional PBE.

a b c (Å): 6.4760 4.4053 2.8900
angles (deg): 90.00 63.49 126.04
Last column: magnetic moment on the atom in μB.
Element x y z (fractional)
Cr 0.5000 0.5000 0.0000  2.37
Ir 0.0000 0.0000 0.0000  0.00
Ir 0.5000 0.0000 0.5000  0.01
Al 0.0000 0.5000 0.5000  -0.01

## Properties
* E_tot: -8.25 eV/atom
* calculated formation energy: -0.478 eV per atom
* SG: No. 65
* V: 13.896 A^3/atom

---

# 2
A relaxed structure of Tl5Hg2. Source: Alexandria via LeMat-Bulk, functional PBE.

a b c (Å): 6.0622 8.8989 8.3110
angles (deg): 92.42 111.39 90.00
Element x y z (fractional)
Tl 0.3096 0.4612 0.2734
Tl 0.0362 0.0388 0.7266
Tl 0.1220 0.6790 0.5699
Tl 0.5522 0.8210 0.4301
Tl 0.8780 0.3210 0.4301
Tl 0.4478 0.1790 0.5699
Tl 0.9638 0.9612 0.2734
Tl 0.6904 0.5388 0.7266
Tl 0.7986 0.2500 0.0000
Tl 0.2014 0.7500 0.0000
Hg 0.2464 0.3919 0.8568
Hg 0.3897 0.1081 0.1432
Hg 0.7536 0.6081 0.1432
Hg 0.6103 0.8919 0.8568

## Properties
* E_tot: -1.77 eV/atom
* calculated formation energy: 0.010 eV per atom
* SG: No. 15
* V: 29.789 A^3/atom

---

# 3
A relaxed structure of CaNdSm6. Source: Alexandria via LeMat-Bulk, functional PBE.

a b c (Å): 5.1840 5.1840 10.3100
angles (deg): 90.00 90.00 90.00
Element x y z (fractional)
Ca 0.0000 0.0000 0.0000
Nd 0.0000 0.0000 0.5000
Sm 0.5000 0.5000 0.0000
Sm 0.5000 0.5000 0.5000
Sm 0.5000 0.0000 0.2560
Sm 0.5000 0.0000 0.7440
Sm 0.0000 0.5000 0.2560
Sm 0.0000 0.5000 0.7440

## Properties
* E_tot: -4.33 eV/atom
* calculated formation energy: 0.053 eV per atom
* SG: No. 123
* V: 34.633 A^3/atom

---

# 4
A relaxed structure of Tm2Zn2Cu5Ni. Source: Alexandria via LeMat-Bulk, functional PBE.

a b c (Å): 3.4669 9.5188 9.5188
angles (deg): 90.00 90.00 90.00
Element x y z (fractional)
Tm 0.0000 0.6776 0.1776
Tm 0.0000 0.3224 0.8224
Tm 0.0000 0.1776 0.3224
Tm 0.0000 0.8224 0.6776
Zn 0.0000 0.1225 0.6225
Zn 0.0000 0.8775 0.3775
Zn 0.0000 0.6225 0.8775
Zn 0.0000 0.3775 0.1225
Cu 0.5000 0.1885 0.0489
Cu 0.5000 0.8115 0.9511
Cu 0.5000 0.0489 0.8115
Cu 0.5000 0.6885 0.4511
Cu 0.5000 0.9511 0.1885
Cu 0.5000 0.3115 0.5489
Cu 0.5000 0.5489 0.6885
Cu 0.5000 0.4511 0.3115
Cu 0.5000 0.5000 0.0000
Cu 0.5000 0.0000 0.5000
Ni 0.0000 0.0000 0.0000
Ni 0.0000 0.5000 0.5000

## Properties
* E_tot: -3.86 eV/atom
* calculated formation energy: -0.081 eV per atom
* SG: No. 127
* V: 15.706 A^3/atom

---

# 5
A relaxed structure of CrHSe2. Source: Alexandria via LeMat-Bulk, functional PBE.

a b c (Å): 7.3650 3.0346 8.9284
angles (deg): 89.38 98.21 101.89
Element x y z (fractional)
H 0.0655 0.0886 0.9512
H 0.0570 0.0754 0.8664
Se 0.7700 0.9287 0.5589
Se 0.4397 0.2739 0.2330
Se 0.9901 0.0475 0.2915
Se 0.3209 0.7026 0.6168
Cr 0.5142 0.3029 0.5017
Cr 0.2463 0.6734 0.3481

## Properties
* E_tot: -5.23 eV/atom
* SG: No. 1
* V: 24.154 A^3/atom

---

# 6
A relaxed structure of AcFeCoB3. Source: Alexandria via LeMat-Bulk, functional PBE.

a b c (Å): 5.8996 5.2576 5.6645
angles (deg): 117.65 90.00 90.00
Last column: magnetic moment on the atom in μB.
Element x y z (fractional)
Ac 0.7500 0.2524 0.5047  -0.01
Ac 0.2500 0.7476 0.4953  -0.01
Fe 0.2500 0.0424 0.0849  0.70
Fe 0.7500 0.9576 0.9151  0.70
Co 0.2500 0.4190 0.8381  -0.04
Co 0.7500 0.5810 0.1619  -0.04
B 0.2500 0.2283 0.4566  -0.04
B 0.0000 0.2931 0.0000  -0.02
B 0.5000 0.7069 0.0000  -0.02
B 0.5000 0.2931 0.0000  -0.02
B 0.0000 0.7069 0.0000  -0.02
B 0.7500 0.7717 0.5434  -0.04

## Properties
* E_tot: -6.70 eV/atom
* calculated formation energy: -0.080 eV per atom
* SG: No. 63
* V: 12.969 A^3/atom

---

- Among the records above, which one has the highest V?
  CaNdSm6

---

- The lowest E_tot belongs to which entry?
  AlCrIr2

---

- Among the records above, which one has the highest V?
  CaNdSm6

---

What did the first record say?
A relaxed structure of AlCrIr2. Source: Alexandria via LeMat-Bulk, functional PBE.

a b c (Å): 6.4760 4.4053 2.8900
angles (deg): 90.00 63.49 126.04
Last column: magnetic moment on the atom in μB.
Element x y z (fractional)
Cr 0.5000 0.5000 0.0000  2.37
Ir 0.0000 0.0000 0.0000  0.00
Ir 0.5000 0.0000 0.5000  0.01
Al 0.0000 0.5000 0.5000  -0.01

## Properties
* E_tot: -8.25 eV/atom
* calculated formation energy: -0.478 eV per atom
* SG: No. 65
* V: 13.896 A^3/atom